[1]
Here is a relaxed structure of BaLiAs2 from the Alexandria database. Energies are from GGA-PBE.

Unit cell a=4.5227 b=4.6058 c=10.6088 alpha=90.00 beta=90.00 gamma=90.00
Closest atoms and distances in Å follow each position.
Atoms (fractional coordinates):
Ba  0.0000  0.0000  0.0000  4 Li 3.38-3.62, 8 As 3.39-3.60
Ba  0.5000  0.5000  0.5000  4 Li 3.38-3.62, 8 As 3.39-3.60
Li  0.0000  0.5000  0.7665  2 As 2.55
Li  0.5000  0.0000  0.2665  2 As 2.55
As  0.0000  0.0000  0.3785  2 Li 2.55, 2 As 2.62
As  0.0000  0.5000  0.2614  2 As 2.62
As  0.5000  0.0000  0.7614  2 As 2.62
As  0.5000  0.5000  0.8785  2 Li 2.55, 2 As 2.62

Output
space group: No. 44
energy of formation from the pure elements: -0.616 eV per atom
magnetic moment: 0.00 Bohr magnetons per cell
energy above the most stable polymorph in this dataset: 73 kJ/mol of formula units
volume: 27.62 Å³ per atom
raw total energy: -3.9000 eV/atom


[2]
Here is a relaxed structure of Ba2Li2As3 from the Alexandria database. Energies are from GGA-PBE.

Unit cell a=10.0415 b=10.0415 c=7.9526 alpha=90.00 beta=90.00 gamma=152.78
Closest atoms and distances in Å follow each position.
Atoms (fractional coordinates):
Ba  0.0524  0.9476  0.7500  9 As 3.40-3.54
Ba  0.1511  0.8489  0.2500  6 Li 3.35-3.56, 6 As 3.36
Ba  0.8489  0.1511  0.7500  6 Li 3.35-3.56, 6 As 3.36
Ba  0.9476  0.0524  0.2500  9 As 3.40-3.54
Li  0.3059  0.6941  0.0671  4 As 2.84-2.96, 1 Li 2.91
Li  0.3059  0.6941  0.4329  4 As 2.84-2.96, 1 Li 2.91
Li  0.6941  0.3059  0.5671  4 As 2.84-2.96, 1 Li 2.91
Li  0.6941  0.3059  0.9329  4 As 2.84-2.96, 1 Li 2.91
As  0.2264  0.7736  0.7500  6 Li 2.85-2.96
As  0.4425  0.5575  0.5570  1 As 2.42
As  0.4425  0.5575  0.9430  1 As 2.42
As  0.5575  0.4425  0.0570  1 As 2.42
As  0.5575  0.4425  0.4430  1 As 2.42
As  0.7736  0.2264  0.2500  6 Li 2.85-2.96

Output
space group: No. 63
energy of formation from the pure elements: -0.864 eV per atom
magnetic moment: 0.00 Bohr magnetons per cell
volume: 26.20 Å³ per atom
raw total energy: -3.9532 eV/atom


[3]
Here is a relaxed structure of Ba2LiAs from the Alexandria database. Energies are from GGA-PBE.

Unit cell a=4.6450 b=4.6450 c=6.9985 alpha=90.00 beta=90.00 gamma=90.00
Closest atoms and distances in Å follow each position.
Atoms (fractional coordinates):
Ba  0.0000  0.0000  0.0000  1 Li 2.97
Ba  0.5000  0.5000  0.4078  1 As 3.24, 4 Li 3.49
Li  0.0000  0.0000  0.5763  1 Ba 2.97
As  0.5000  0.5000  0.8712  5 Ba 3.24-3.41

Output
space group: No. 99
energy of formation from the pure elements: -0.382 eV per atom
magnetic moment: 0.00 Bohr magnetons per cell
volume: 37.75 Å³ per atom
raw total energy: -2.9842 eV/atom


[4]
Here is a relaxed structure of BaLiAs2 from the Alexandria database. Energies are from GGA-PBE.

Unit cell a=5.1813 b=5.1813 c=16.8927 alpha=90.00 beta=90.00 gamma=90.00
Closest atoms and distances in Å follow each position.
Atoms (fractional coordinates):
Ba  0.0000  0.0000  0.0000  8 As 3.44-3.74, 4 Li 3.66
Ba  0.0000  0.5000  0.2500  8 As 3.44-3.74, 4 Li 3.66
Ba  0.5000  0.0000  0.7500  8 As 3.44-3.74, 4 Li 3.66
Ba  0.5000  0.5000  0.5000  8 As 3.44-3.74, 4 Li 3.66
Li  0.0000  0.0000  0.5000  4 As 2.49
Li  0.0000  0.5000  0.7500  4 As 2.49
Li  0.5000  0.0000  0.2500  4 As 2.49
Li  0.5000  0.5000  0.0000  4 As 2.49
As  0.0406  0.7500  0.6250  2 Li 2.49, 2 As 2.62
As  0.2500  0.0406  0.3750  2 Li 2.49, 2 As 2.62
As  0.2500  0.4594  0.8750  2 Li 2.49, 2 As 2.62
As  0.4594  0.7500  0.1250  2 Li 2.49, 2 As 2.62
As  0.5406  0.2500  0.1250  2 Li 2.49, 2 As 2.62
As  0.7500  0.5406  0.8750  2 Li 2.49, 2 As 2.62
As  0.7500  0.9594  0.3750  2 Li 2.49, 2 As 2.62
As  0.9594  0.2500  0.6250  2 Li 2.49, 2 As 2.62

Output
space group: No. 122
energy of formation from the pure elements: -0.698 eV per atom
magnetic moment: 0.00 Bohr magnetons per cell
energy above the most stable polymorph in this dataset: 42 kJ/mol of formula units
volume: 28.34 Å³ per atom
raw total energy: -3.9816 eV/atom


[5]
Here is a relaxed structure of BaLiAs from the Alexandria database. Energies are from GGA-PBE.

Unit cell a=4.5295 b=4.5295 c=8.7197 alpha=90.00 beta=90.00 gamma=90.00
Closest atoms and distances in Å follow each position.
Atoms (fractional coordinates):
Ba  0.0000  0.0000  0.0000  1 Li 2.97, 1 As 3.19
Ba  0.5000  0.5000  0.5000  1 Li 2.97, 1 As 3.19
Li  0.0000  0.0000  0.3401  1 As 2.57
Li  0.5000  0.5000  0.8401  1 As 2.57
As  0.0000  0.0000  0.6343  1 Li 2.57
As  0.5000  0.5000  0.1343  1 Li 2.57

Output
space group: No. 107
energy of formation from the pure elements: -0.611 eV per atom
magnetic moment: 0.00 Bohr magnetons per cell
volume: 29.82 Å³ per atom
raw total energy: -3.4402 eV/atom


[6]
Here is a relaxed structure of BaLiAs2 from the Alexandria database. Energies are from GGA-PBE.

Unit cell a=6.7726 b=9.0402 c=3.4130 alpha=90.00 beta=90.00 gamma=90.00
Closest atoms and distances in Å follow each position.
Atoms (fractional coordinates):
Ba  0.0000  0.0000  0.0000  8 As 3.30, 2 Li 3.39, 2 Ba 3.41
Ba  0.5000  0.5000  0.0000  8 As 3.30, 2 Li 3.39, 2 Ba 3.41
Li  0.0000  0.5000  0.0000  8 As 3.30, 2 Ba 3.39, 2 Li 3.41
Li  0.5000  0.0000  0.0000  8 As 3.30, 2 Ba 3.39, 2 Li 3.41
As  0.2500  0.2500  0.5000  4 Ba 3.30, 4 Li 3.30, 4 As 3.39-3.41
As  0.2500  0.7500  0.5000  4 Ba 3.30, 4 Li 3.30, 4 As 3.39-3.41
As  0.7500  0.2500  0.5000  4 Ba 3.30, 4 Li 3.30, 4 As 3.39-3.41
As  0.7500  0.7500  0.5000  4 Li 3.30, 4 Ba 3.30, 4 As 3.39-3.41

Output
space group: No. 65
energy of formation from the pure elements: -0.405 eV per atom
magnetic moment: 0.00 Bohr magnetons per cell
energy above the most stable polymorph in this dataset: 155 kJ/mol of formula units
volume: 26.12 Å³ per atom
raw total energy: -3.6889 eV/atom


[7]
Here is a relaxed structure of BaLiAs2 from the Alexandria database. Energies are from GGA-PBE.

Unit cell a=3.3767 b=4.8809 c=6.7506 alpha=90.00 beta=90.00 gamma=90.00
Closest atoms and distances in Å follow each position.
Atoms (fractional coordinates):
Ba  0.0000  0.0000  0.0000  6 As 3.19-3.48, 2 Ba 3.38
Li  0.5000  0.5000  0.4416  1 As 2.59
As  0.0000  0.0000  0.4849  4 Li 2.98, 1 Ba 3.27
As  0.5000  0.5000  0.8256  1 Li 2.59

Output
space group: No. 25
energy of formation from the pure elements: -0.188 eV per atom
magnetic moment: 0.00 Bohr magnetons per cell
energy above the most stable polymorph in this dataset: 238 kJ/mol of formula units
volume: 27.81 Å³ per atom
raw total energy: -3.4719 eV/atom


[8]
Here is a relaxed structure of BaLi4As4 from the Alexandria database. Energies are from GGA-PBE.

Unit cell a=8.7748 b=8.7748 c=5.0874 alpha=90.00 beta=90.00 gamma=90.00
Closest atoms and distances in Å follow each position.
Atoms (fractional coordinates):
Ba  0.2500  0.2500  0.2500  8 As 3.48-3.65, 4 Li 3.53
Ba  0.7500  0.7500  0.7500  8 As 3.48-3.65, 4 Li 3.53
Li  0.1197  0.6248  0.1418  5 As 2.55-2.85
Li  0.1248  0.8803  0.6418  5 As 2.55-2.85
Li  0.3752  0.6197  0.6418  5 As 2.55-2.85
Li  0.3803  0.8752  0.1418  5 As 2.55-2.85
Li  0.6197  0.1248  0.8582  5 As 2.55-2.85
Li  0.6248  0.3803  0.3582  5 As 2.55-2.85
Li  0.8752  0.1197  0.3582  5 As 2.55-2.85
Li  0.8803  0.3752  0.8582  5 As 2.55-2.85
As  0.0572  0.9089  0.1479  1 As 2.41, 4 Li 2.55-2.67
As  0.0911  0.5572  0.6479  1 As 2.41, 4 Li 2.55-2.67
As  0.4089  0.9428  0.6479  1 As 2.41, 4 Li 2.55-2.67
As  0.4428  0.5911  0.1479  1 As 2.41, 4 Li 2.55-2.67
As  0.5572  0.4089  0.8521  1 As 2.41, 4 Li 2.55-2.67
As  0.5911  0.0572  0.3521  1 As 2.41, 4 Li 2.55-2.67
As  0.9089  0.4428  0.3521  1 As 2.41, 4 Li 2.55-2.67
As  0.9428  0.0911  0.8521  1 As 2.41, 4 Li 2.55-2.67

Output
space group: No. 86
energy of formation from the pure elements: -0.606 eV per atom
magnetic moment: 0.00 Bohr magnetons per cell
volume: 21.76 Å³ per atom
raw total energy: -3.7369 eV/atom


Question: energy of formation from the pure elements of number 3 (Ba2LiAs)?
Answer: -0.382 eV per atom